A relaxed Ca2HoPuAs4 crystal. Source: Alexandria, functional GGA-PBE.

The structure in POSCAR format:
```
Ca2HoPuAs4
1.0
4.196 0.000 0.000
0.000 7.192 0.111
0.000 -2.526 6.783
As Ho Pu Ca
4 1 1 2
direct
0.000 0.261 0.770 As
0.500 0.750 0.768 As
0.500 0.250 0.232 As
0.000 0.739 0.230 As
0.000 0.000 0.000 Ho
0.500 0.500 0.000 Pu
0.000 0.500 0.500 Ca
0.500 0.000 0.500 Ca
```

As for the symmetry: P2/m (10). The calculated formation energy is -1.13 eV/atom.

***

A relaxed CaHoAs2Rh5 crystal. Source: Alexandria, functional GGA-PBE.

The structure in POSCAR format:
```
CaHoAs2Rh5
1.0
-2.183 -2.961 2.160
-0.140 -2.445 -3.492
7.413 -3.761 2.337
Ho Rh As Ca
1 5 2 1
direct
0.000 0.000 0.000 Ho
0.000 0.500 0.732 Rh
0.500 0.000 0.732 Rh
0.000 0.500 0.268 Rh
0.500 0.500 0.500 Rh
0.500 0.000 0.268 Rh
0.500 0.500 0.148 As
0.500 0.500 0.852 As
0.000 0.000 0.500 Ca
```

As for the symmetry: P4/mmm (123). The calculated formation energy is -0.60 eV/atom.

***

A relaxed Ca2HoAs3Rh4 crystal. Source: Alexandria, functional GGA-PBE.

The structure in POSCAR format:
```
Ca2HoAs3Rh4
1.0
4.133 0.000 0.000
0.000 4.133 0.000
0.000 0.000 11.255
Ca Rh As Ho
2 4 3 1
direct
0.500 0.000 0.229 Ca
0.000 0.500 0.771 Ca
0.500 0.000 0.659 Rh
0.000 0.000 0.000 Rh
0.000 0.500 0.341 Rh
0.500 0.500 0.000 Rh
0.000 0.000 0.500 As
0.000 0.500 0.127 As
0.500 0.000 0.873 As
0.500 0.500 0.500 Ho
```

As for the symmetry: P-4m2 (115). The calculated formation energy is -0.86 eV/atom.

***

A relaxed CaHoAsS crystal. Source: Alexandria, functional GGA-PBE.

The structure in POSCAR format:
```
CaHoAsS
1.0
-2.332 3.204 -0.993
-2.679 1.491 2.700
3.027 5.718 2.936
S As Ho Ca
1 1 1 1
direct
0.503 0.503 0.490 S
0.996 0.996 0.013 As
0.251 0.251 0.246 Ho
0.750 0.750 0.751 Ca
```

As for the symmetry: R3m (160). The total energy comes out at -5.595 eV per atom.

***

A relaxed CaHoSc2As4 crystal. Source: Alexandria, functional GGA-PBE.

The structure in POSCAR format:
```
CaHoSc2As4
1.0
3.991 0.000 0.000
0.000 7.001 -0.169
0.000 2.433 6.516
As Sc Ca Ho
4 2 1 1
direct
0.500 0.767 0.248 As
0.000 0.228 0.262 As
0.000 0.772 0.738 As
0.500 0.233 0.752 As
0.000 0.000 0.000 Sc
0.500 0.000 0.500 Sc
0.500 0.500 0.000 Ca
0.000 0.500 0.500 Ho
```

As for the symmetry: P2/m (10). The calculated formation energy is -1.29 eV/atom.

***

A relaxed CaHo2ScAs4 crystal. Source: Alexandria, functional GGA-PBE.

The structure in POSCAR format:
```
CaHo2ScAs4
1.0
4.063 0.000 0.000
0.000 7.035 -0.139
0.000 2.475 6.655
Sc As Ho Ca
1 4 2 1
direct
0.000 0.500 0.500 Sc
0.000 0.249 0.261 As
0.500 0.743 0.262 As
0.500 0.257 0.738 As
0.000 0.751 0.739 As
0.000 0.000 0.000 Ho
0.500 0.000 0.500 Ho
0.500 0.500 0.000 Ca
```

As for the symmetry: P2/m (10). The calculated formation energy is -1.31 eV/atom.

***

A relaxed CaHoAsSe crystal. Source: Alexandria, functional GGA-PBE.

The structure in POSCAR format:
```
CaHoAsSe
1.0
-0.499 1.888 3.673
-3.699 1.599 1.031
-3.198 -4.828 4.402
As Se Ho Ca
1 1 1 1
direct
0.254 0.254 0.237 As
0.747 0.747 0.759 Se
0.995 0.995 0.014 Ho
0.503 0.503 0.490 Ca
```

As for the symmetry: R3m (160). The total energy comes out at -5.379 eV per atom.

***

A relaxed Ca3Ho2TaAs6 crystal. Source: Alexandria, functional GGA-PBE.

The structure in POSCAR format:
```
Ca3Ho2TaAs6
1.0
-1.097 6.650 -1.904
1.269 -4.875 -4.866
-6.769 -1.846 1.776
Ca As Ho Ta
3 6 2 1
direct
0.828 0.172 0.500 Ca
0.172 0.828 0.500 Ca
0.500 0.500 0.500 Ca
0.766 0.766 0.230 As
0.611 0.924 0.772 As
0.076 0.389 0.228 As
0.389 0.076 0.228 As
0.924 0.611 0.772 As
0.234 0.234 0.770 As
0.666 0.334 0.000 Ho
0.334 0.666 0.000 Ho
0.000 0.000 0.000 Ta
```

As for the symmetry: C2/m (12). The calculated formation energy is -1.09 eV/atom.

***

A relaxed CaTbHo2As4 crystal. Source: Alexandria, functional GGA-PBE.

The structure in POSCAR format:
```
CaTbHo2As4
1.0
-0.283 1.640 -3.779
-7.107 0.733 0.850
-1.394 6.425 2.893
As Ho Tb Ca
4 2 1 1
direct
0.000 0.241 0.257 As
0.500 0.755 0.252 As
0.000 0.759 0.743 As
0.500 0.245 0.748 As
0.000 0.000 0.000 Ho
0.500 0.000 0.500 Ho
0.000 0.500 0.500 Tb
0.500 0.500 0.000 Ca
```

As for the symmetry: P2/m (10). The calculated formation energy is -1.37 eV/atom.

***

A relaxed CaHo3Th2As6 crystal. Source: Alexandria, functional GGA-PBE.

The structure in POSCAR format:
```
CaHo3Th2As6
1.0
4.188 0.000 0.000
0.000 8.356 0.301
-2.094 -2.408 8.770
Ca As Ho Th
1 6 3 2
direct
0.500 0.000 0.000 Ca
0.331 0.921 0.661 As
0.666 0.587 0.332 As
0.669 0.079 0.339 As
0.334 0.413 0.668 As
0.999 0.257 0.997 As
0.001 0.743 0.003 As
0.835 0.166 0.671 Ho
0.500 0.500 0.000 Ho
0.165 0.834 0.329 Ho
0.836 0.672 0.672 Th
0.164 0.328 0.328 Th
```

As for the symmetry: C2/m (12). The calculated formation energy is -1.45 eV/atom.

***

A relaxed CaHo2ThAs4 crystal. Source: Alexandria, functional GGA-PBE.

The structure in POSCAR format:
```
CaHo2ThAs4
1.0
4.194 0.000 0.000
0.000 7.246 -0.165
0.000 2.528 6.753
As Th Ca Ho
4 1 1 2
direct
0.500 0.241 0.756 As
0.500 0.759 0.244 As
0.000 0.242 0.252 As
0.000 0.758 0.748 As
0.500 0.500 0.000 Th
0.000 0.500 0.500 Ca
0.500 0.000 0.500 Ho
0.000 0.000 0.000 Ho
```

As for the symmetry: P2/m (10). The calculated formation energy is -1.42 eV/atom.

***

A relaxed CaHoTh2As4 crystal. Source: Alexandria, functional GGA-PBE.

The structure in POSCAR format:
```
CaHoTh2As4
1.0
4.234 0.000 0.000
0.000 7.342 0.134
0.000 -2.560 6.772
Ho As Th Ca
1 4 2 1
direct
0.000 0.000 0.000 Ho
0.000 0.754 0.250 As
0.000 0.246 0.750 As
0.500 0.755 0.755 As
0.500 0.245 0.245 As
0.500 0.000 0.500 Th
0.000 0.500 0.500 Th
0.500 0.500 0.000 Ca
```

As for the symmetry: P2/m (10). The calculated formation energy is -1.41 eV/atom.

***

A relaxed CaHo2TmAs4 crystal. Source: Alexandria, functional GGA-PBE.

The structure in POSCAR format:
```
CaHo2TmAs4
1.0
-4.079 -0.146 -0.457
-0.180 -6.183 3.581
-0.830 1.337 6.983
As Ho Tm Ca
4 2 1 1
direct
0.000 0.244 0.258 As
0.000 0.756 0.742 As
0.500 0.249 0.745 As
0.500 0.751 0.255 As
0.500 0.000 0.500 Ho
0.000 0.000 0.000 Ho
0.000 0.500 0.500 Tm
0.500 0.500 0.000 Ca
```

As for the symmetry: P2/m (10). The calculated formation energy is -1.36 eV/atom.

***

A relaxed Ca2HoUAs4 crystal. Source: Alexandria, functional GGA-PBE.

The structure in POSCAR format:
```
Ca2HoUAs4
1.0
4.181 0.000 0.000
0.000 7.171 0.129
0.000 -2.500 6.795
As Ca Ho U
4 2 1 1
direct
0.500 0.237 0.229 As
0.000 0.247 0.769 As
0.500 0.763 0.771 As
0.000 0.753 0.231 As
0.500 0.000 0.500 Ca
0.000 0.500 0.500 Ca
0.500 0.500 0.000 Ho
0.000 0.000 0.000 U
```

As for the symmetry: P2/m (10). The calculated formation energy is -1.15 eV/atom.

***

A relaxed CaHo2UAs4 crystal. Source: Alexandria, functional GGA-PBE.

The structure in POSCAR format:
```
CaHo2UAs4
1.0
-3.893 -0.561 1.220
2.013 -5.691 3.806
0.450 5.816 4.109
As Ho Ca U
4 2 1 1
direct
0.000 0.761 0.251 As
0.500 0.244 0.250 As
0.500 0.756 0.750 As
0.000 0.239 0.749 As
0.000 0.500 0.500 Ho
0.500 0.000 0.500 Ho
0.500 0.500 0.000 Ca
0.000 0.000 0.000 U
```

As for the symmetry: P2/m (10). The calculated formation energy is -1.23 eV/atom.

***

A relaxed Ca3HoU3As8 crystal. Source: Alexandria, functional GGA-PBE.

The structure in POSCAR format:
```
Ca3HoU3As8
1.0
-5.291 -5.906 2.270
7.118 -2.019 -3.649
0.042 2.952 7.779
As Ca U Ho
8 3 3 1
direct
0.249 0.497 0.727 As
0.270 0.022 0.273 As
0.730 0.978 0.727 As
0.744 0.488 0.732 As
0.751 0.503 0.273 As
0.256 0.512 0.268 As
0.248 0.978 0.727 As
0.752 0.022 0.273 As
0.000 0.500 0.000 Ca
0.500 0.500 0.000 Ca
0.000 0.000 0.000 Ca
0.000 0.500 0.500 U
0.500 0.500 0.500 U
0.500 0.000 0.500 U
0.000 0.000 0.500 Ho
```

As for the symmetry: R-3m (166). The calculated formation energy is -0.88 eV/atom.

***

A relaxed CaHoU2As4 crystal. Source: Alexandria, functional GGA-PBE.

The structure in POSCAR format:
```
CaHoU2As4
1.0
4.093 0.000 0.000
0.000 7.105 0.127
0.000 -2.483 6.778
U As Ho Ca
2 4 1 1
direct
0.500 0.000 0.500 U
0.000 0.500 0.500 U
0.000 0.758 0.260 As
0.500 0.752 0.746 As
0.000 0.242 0.740 As
0.500 0.248 0.254 As
0.000 0.000 0.000 Ho
0.500 0.500 0.000 Ca
```

As for the symmetry: P2/m (10). The calculated formation energy is -1.05 eV/atom.

***

A relaxed CaHo2ZrAs4 crystal. Source: Alexandria, functional GGA-PBE.

The structure in POSCAR format:
```
CaHo2ZrAs4
1.0
-0.227 -3.041 2.668
-2.500 -4.256 -5.065
6.976 -0.429 0.104
Ca Zr Ho As
1 1 2 4
direct
0.500 0.500 0.000 Ca
0.000 0.000 0.000 Zr
0.500 0.000 0.500 Ho
0.000 0.500 0.500 Ho
0.500 0.761 0.758 As
0.500 0.239 0.242 As
0.000 0.761 0.248 As
0.000 0.239 0.752 As
```

As for the symmetry: P2/m (10). The calculated formation energy is -1.32 eV/atom.

***

A relaxed Ca3Ho2ZrAs6 crystal. Source: Alexandria, functional GGA-PBE.

The structure in POSCAR format:
```
Ca3Ho2ZrAs6
1.0
7.081 0.001 0.001
-3.538 6.133 0.001
-1.181 -2.044 6.880
Ca As Ho Zr
3 6 2 1
direct
0.500 0.500 0.500 Ca
0.170 0.830 0.500 Ca
0.830 0.170 0.500 Ca
0.244 0.244 0.768 As
0.923 0.601 0.769 As
0.399 0.077 0.231 As
0.077 0.399 0.231 As
0.601 0.923 0.769 As
0.756 0.756 0.232 As
0.334 0.666 0.000 Ho
0.666 0.334 0.000 Ho
0.000 0.000 0.000 Zr
```

As for the symmetry: C2/m (12). The calculated formation energy is -1.20 eV/atom.

***

A relaxed Ca3HoZr2As6 crystal. Source: Alexandria, functional GGA-PBE.

The structure in POSCAR format:
```
Ca3HoZr2As6
1.0
-4.180 -3.239 4.551
3.681 -3.715 -4.617
5.356 1.914 4.493
As Ho Zr Ca
6 1 2 3
direct
0.732 0.732 0.229 As
0.268 0.268 0.771 As
0.420 0.077 0.229 As
0.580 0.923 0.771 As
0.923 0.580 0.771 As
0.077 0.420 0.229 As
0.000 0.000 0.000 Ho
0.333 0.667 0.000 Zr
0.667 0.333 0.000 Zr
0.836 0.164 0.500 Ca
0.164 0.836 0.500 Ca
0.500 0.500 0.500 Ca
```

As for the symmetry: C2/m (12). The calculated formation energy is -1.20 eV/atom.

***

A relaxed CaAs2I crystal. Source: Alexandria, functional GGA-PBE.

The structure in POSCAR format:
```
CaAs2I
1.0
-5.262 -0.390 -0.277
-3.025 2.536 3.511
-2.881 4.162 -1.514
I As Ca
1 2 1
direct
0.500 0.500 0.500 I
0.750 0.750 0.750 As
0.250 0.250 0.250 As
0.000 0.000 0.000 Ca
```

As for the symmetry: Fm-3m (225). The energy above the most stable polymorph in this dataset comes out at 0.0 kJ/mol of formula units.

***

A relaxed CaAs3I crystal. Source: Alexandria, functional GGA-PBE.

The structure in POSCAR format:
```
CaAs3I
1.0
5.478 0.000 0.000
0.000 5.478 0.000
0.000 0.000 5.478
Ca As I
1 3 1
direct
0.000 0.000 0.000 Ca
0.000 0.000 0.500 As
0.500 0.000 0.000 As
0.000 0.500 0.000 As
0.500 0.500 0.500 I
```

As for the symmetry: Pm-3m (221). The energy above the most stable polymorph in this dataset comes out at 100.4 kJ/mol of formula units.

***

A relaxed CaAs3I crystal. Source: Alexandria, functional GGA-PBE.

The structure in POSCAR format:
```
CaAs3I
1.0
-0.352 -1.867 5.021
4.151 -3.276 -0.927
3.386 3.821 1.658
As I Ca
3 1 1
direct
0.000 0.000 0.500 As
0.000 0.500 0.000 As
0.500 0.000 0.000 As
0.000 0.000 0.000 I
0.500 0.500 0.500 Ca
```

As for the symmetry: Pm-3m (221). The energy above the most stable polymorph in this dataset comes out at 0.0 kJ/mol of formula units.

***

A relaxed CaAs2I8 crystal. Source: Alexandria, functional GGA-PBE.

The structure in POSCAR format:
```
CaAs2I8
1.0
-2.486 3.545 -0.491
1.110 -0.323 -10.711
-6.315 -9.647 0.652
As I Ca
2 8 1
direct
0.376 0.744 0.271 As
0.624 0.256 0.729 As
0.576 0.719 0.511 I
0.979 0.796 0.957 I
0.268 0.435 0.793 I
0.021 0.204 0.043 I
0.780 0.945 0.292 I
0.220 0.055 0.708 I
0.732 0.565 0.207 I
0.424 0.281 0.489 I
0.500 0.000 0.000 Ca
```

As for the symmetry: P-1 (2). The energy above the most stable polymorph in this dataset comes out at 0.0 kJ/mol of formula units.

***

no.,calculated volume (A^3/atom),density of states at the Fermi level (states/eV per cell)
1,25.73,11.7
2,17.46,6.7
3,19.23,4.1
4,24.22,0.0
5,22.96,3.2
6,23.95,3.5
7,25.72,0.0
8,24.22,4.3
9,25.17,3.7
10,25.83,1.6
11,25.87,1.0
12,26.50,1.7
13,24.79,3.5
14,25.63,5.0
15,24.79,6.7
16,26.80,17.2
17,24.80,10.1
18,23.67,1.2
19,24.91,6.3
20,24.09,4.0
21,26.07,8.3
22,32.88,8.7
23,30.94,4.3
24,45.53,0.0